# PBE-GGA SrPa2MoN5, optimized geometry
# Energy, eV for the cell shown: -334.45
# Total magnetic moment, μB/f.u.: 0.001
# ΔE_f (raw), eV per atom: -1.165
# N(E_F), states/eV per atom: 0.727
data_SrPa2MoN5
_cell_length_a 6.704
_cell_length_b 6.704
_cell_length_c 11.553
_cell_angle_alpha 90.00
_cell_angle_beta 90.00
_cell_angle_gamma 90.00
_symmetry_space_group_name_H-M 'I 4/m c m'
_symmetry_Int_Tables_number 140
_symmetry_space_group_name_Hall '-I 4 2c'
loop_
_atom_site_label
_atom_site_type_symbol
_atom_site_fract_x
_atom_site_fract_y
_atom_site_fract_z
Sr1 Sr 0.000 0.000 0.250
Pa1 Pa 0.179 0.321 0.000
Mo1 Mo 0.000 0.500 0.250
N1 N 0.000 0.000 0.000
N2 N 0.147 0.353 0.367


# PBE-GGA Pa2TaMoN5, optimized geometry
# Energy, eV for the cell shown: -377.96
# Total magnetic moment, μB/f.u.: 0.000
# ΔE_f (raw), eV per atom: -1.243
# N(E_F), states/eV per atom: 0.302
data_Pa2TaMoN5
_cell_length_a 3.427
_cell_length_b 13.108
_cell_length_c 9.936
_cell_angle_alpha 90.00
_cell_angle_beta 90.00
_cell_angle_gamma 90.00
_symmetry_space_group_name_H-M 'C m c 21'
_symmetry_Int_Tables_number 36
_symmetry_space_group_name_Hall 'C 2c -2'
loop_
_atom_site_label
_atom_site_type_symbol
_atom_site_fract_x
_atom_site_fract_y
_atom_site_fract_z
Pa1 Pa 0.000 0.114 0.000
Pa2 Pa 0.000 0.146 0.613
Ta1 Ta 0.000 0.459 0.785
Mo1 Mo 0.000 0.209 0.317
N1 N 0.000 0.053 0.390
N2 N 0.000 0.283 0.973
N3 N 0.000 0.314 0.677
N4 N 0.000 0.376 0.325
N5 N 0.000 0.489 0.094


# PBE-GGA TbPaMo2N6, optimized geometry
# Energy, eV for the cell shown: -379.18
# Total magnetic moment, μB/f.u.: 0.000
# ΔE_f (raw), eV per atom: -0.905
# N(E_F), states/eV per atom: 0.459
data_TbPaMo2N6
_cell_length_a 10.684
_cell_length_b 9.406
_cell_length_c 6.024
_cell_angle_alpha 90.00
_cell_angle_beta 106.71
_cell_angle_gamma 90.00
_symmetry_space_group_name_H-M 'C 1 2/c 1'
_symmetry_Int_Tables_number 15
_symmetry_space_group_name_Hall '-C 2yc'
loop_
_atom_site_label
_atom_site_type_symbol
_atom_site_fract_x
_atom_site_fract_y
_atom_site_fract_z
Tb1 Tb 0.000 0.087 0.250
Pa1 Pa 0.000 0.318 0.750
Mo1 Mo 0.204 0.403 0.264
N1 N 0.114 0.119 0.651
N2 N 0.120 0.245 0.105
N3 N 0.135 0.465 0.513


# PBE-GGA Pa2TcMoN5, optimized geometry
# Energy, eV for the cell shown: -363.90
# Total magnetic moment, μB/f.u.: 0.000
# ΔE_f (raw), eV per atom: -1.018
# N(E_F), states/eV per atom: 0.436
data_Pa2TcMoN5
_cell_length_a 3.228
_cell_length_b 12.998
_cell_length_c 10.324
_cell_angle_alpha 90.00
_cell_angle_beta 90.00
_cell_angle_gamma 90.00
_symmetry_space_group_name_H-M 'C m c 21'
_symmetry_Int_Tables_number 36
_symmetry_space_group_name_Hall 'C 2c -2'
loop_
_atom_site_label
_atom_site_type_symbol
_atom_site_fract_x
_atom_site_fract_y
_atom_site_fract_z
Pa1 Pa 0.000 0.103 0.000
Pa2 Pa 0.000 0.148 0.630
Tc1 Tc 0.000 0.461 0.777
Mo1 Mo 0.000 0.201 0.338
N1 N 0.000 0.055 0.404
N2 N 0.000 0.280 0.982
N3 N 0.000 0.318 0.689
N4 N 0.000 0.369 0.320
N5 N 0.000 0.487 0.096


# PBE-GGA Pa2TiMoN5, optimized geometry
# Energy, eV for the cell shown: -365.37
# Total magnetic moment, μB/f.u.: 0.000
# ΔE_f (raw), eV per atom: -1.333
# N(E_F), states/eV per atom: 0.538
data_Pa2TiMoN5
_cell_length_a 3.332
_cell_length_b 13.144
_cell_length_c 9.899
_cell_angle_alpha 90.00
_cell_angle_beta 90.00
_cell_angle_gamma 90.00
_symmetry_space_group_name_H-M 'C m c 21'
_symmetry_Int_Tables_number 36
_symmetry_space_group_name_Hall 'C 2c -2'
loop_
_atom_site_label
_atom_site_type_symbol
_atom_site_fract_x
_atom_site_fract_y
_atom_site_fract_z
Pa1 Pa 0.000 0.109 0.000
Pa2 Pa 0.000 0.146 0.619
Ti1 Ti 0.000 0.461 0.787
Mo1 Mo 0.000 0.211 0.322
N1 N 0.000 0.054 0.388
N2 N 0.000 0.281 0.976
N3 N 0.000 0.318 0.681
N4 N 0.000 0.377 0.326
N5 N 0.000 0.488 0.099


# PBE-GGA Pa2TiMoN6, optimized geometry
# Energy, eV for the cell shown: -98.76
# Total magnetic moment, μB/f.u.: 0.002
# ΔE_f (raw), eV per atom: -1.109
# N(E_F), states/eV per atom: 0.648
data_Pa2TiMoN6
_cell_length_a 5.392
_cell_length_b 5.392
_cell_length_c 4.775
_cell_angle_alpha 90.00
_cell_angle_beta 90.00
_cell_angle_gamma 90.00
_symmetry_space_group_name_H-M 'P 4 m m'
_symmetry_Int_Tables_number 99
_symmetry_space_group_name_Hall 'P 4 -2'
loop_
_atom_site_label
_atom_site_type_symbol
_atom_site_fract_x
_atom_site_fract_y
_atom_site_fract_z
Pa1 Pa 0.000 0.500 0.000
Ti1 Ti 0.000 0.000 0.603
Mo1 Mo 0.500 0.500 0.597
N1 N 0.000 0.000 0.219
N2 N 0.249 0.249 0.759
N3 N 0.500 0.500 0.221


# PBE-GGA PaTlMoN4, optimized geometry
# Energy, eV for the cell shown: -119.45
# Total magnetic moment, μB/f.u.: 0.000
# ΔE_f (raw), eV per atom: -0.533
# N(E_F), states/eV per atom: 0.000
data_PaTlMoN4
_cell_length_a 6.167
_cell_length_b 5.947
_cell_length_c 7.935
_cell_angle_alpha 90.00
_cell_angle_beta 108.38
_cell_angle_gamma 90.00
_symmetry_space_group_name_H-M 'P 1 21/m 1'
_symmetry_Int_Tables_number 11
_symmetry_space_group_name_Hall '-P 2yb'
loop_
_atom_site_label
_atom_site_type_symbol
_atom_site_fract_x
_atom_site_fract_y
_atom_site_fract_z
Pa1 Pa 0.206 0.250 0.056
Tl1 Tl 0.322 0.250 0.590
Mo1 Mo 0.261 0.750 0.848
N1 N 0.052 0.516 0.846
N2 N 0.469 0.750 0.718
N3 N 0.483 0.750 0.062


# PBE-GGA U3Pa2MoN6, optimized geometry
# Energy, eV for the cell shown: -256.96
# Total magnetic moment, μB/f.u.: 4.949
# ΔE_f (raw), eV per atom: -1.237
# N(E_F), states/eV per atom: 1.446
data_U3Pa2MoN6
_cell_length_a 5.883
_cell_length_b 10.190
_cell_length_c 5.901
_cell_angle_alpha 90.00
_cell_angle_beta 109.27
_cell_angle_gamma 90.00
_symmetry_space_group_name_H-M 'C 1 2/m 1'
_symmetry_Int_Tables_number 12
_symmetry_space_group_name_Hall '-C 2y'
loop_
_atom_site_label
_atom_site_type_symbol
_atom_site_fract_x
_atom_site_fract_y
_atom_site_fract_z
U1 U 0.000 0.000 0.000
U2 U 0.000 0.335 0.000
Pa1 Pa 0.000 0.166 0.500
Mo1 Mo 0.000 0.500 0.500
N1 N 0.237 0.500 0.256
N2 N 0.238 0.341 0.740


# PBE-GGA Pa2VMoN5, optimized geometry
# Energy, eV for the cell shown: -367.10
# Total magnetic moment, μB/f.u.: 0.000
# ΔE_f (raw), eV per atom: -1.245
# N(E_F), states/eV per atom: 0.362
data_Pa2VMoN5
_cell_length_a 3.307
_cell_length_b 12.987
_cell_length_c 9.908
_cell_angle_alpha 90.00
_cell_angle_beta 90.00
_cell_angle_gamma 90.00
_symmetry_space_group_name_H-M 'C m c 21'
_symmetry_Int_Tables_number 36
_symmetry_space_group_name_Hall 'C 2c -2'
loop_
_atom_site_label
_atom_site_type_symbol
_atom_site_fract_x
_atom_site_fract_y
_atom_site_fract_z
Pa1 Pa 0.000 0.110 0.000
Pa2 Pa 0.000 0.144 0.622
V1 V 0.000 0.459 0.782
Mo1 Mo 0.000 0.201 0.320
N1 N 0.000 0.049 0.385
N2 N 0.000 0.284 0.978
N3 N 0.000 0.318 0.682
N4 N 0.000 0.371 0.323
N5 N 0.000 0.489 0.100